1.
First-principles (GGA-PBE) data for In2SiSe4 after structural relaxation, as listed in Alexandria via LeMat-Bulk.

SG: I-42m, No. 121
Crystal system: tetragonal
Uncorrected energy, eV per cell: -54.8

abc: 7.028 7.028 9.429
angles: 90.00 90.00 90.00
Atoms (fractional coordinates):
In 0.000 0.500 0.250
In 0.000 0.500 0.750
In 0.500 0.000 0.250
In 0.500 0.000 0.750
Si 0.000 0.000 0.000
Si 0.500 0.500 0.500
Se 0.206 0.206 0.888
Se 0.206 0.794 0.112
Se 0.294 0.294 0.388
Se 0.294 0.706 0.612
Se 0.706 0.294 0.612
Se 0.706 0.706 0.388
Se 0.794 0.206 0.112
Se 0.794 0.794 0.888

2.
First-principles (GGA-PBE) data for In2SiSe after structural relaxation, as listed in Alexandria via LeMat-Bulk.

SG: Cmm2, No. 35
Crystal system: orthorhombic
Energy relative to the lowest polymorph listed for this composition, eV/atom: 0.328

abc: 3.441 6.156 9.535
angles: 90.00 90.00 90.00
Atoms (fractional coordinates):
In 0.000 0.000 0.000
In 0.000 0.500 0.294
In 0.500 0.000 0.294
In 0.500 0.500 0.000
Si 0.000 0.500 0.749
Si 0.500 0.000 0.749
Se 0.000 0.000 0.576
Se 0.500 0.500 0.576

3.
First-principles (GGA-PBE) data for In2SiSe after structural relaxation, as listed in Alexandria via LeMat-Bulk.

SG: I-42d, No. 122
Crystal system: tetragonal
Energy relative to the lowest polymorph listed for this composition, eV/atom: 0.000

abc: 6.166 6.166 12.535
angles: 90.00 90.00 90.00
Atoms (fractional coordinates):
In 0.222 0.250 0.125
In 0.250 0.722 0.375
In 0.250 0.778 0.875
In 0.278 0.250 0.625
In 0.722 0.750 0.625
In 0.750 0.222 0.875
In 0.750 0.278 0.375
In 0.778 0.750 0.125
Si 0.000 0.000 0.000
Si 0.000 0.500 0.250
Si 0.500 0.000 0.750
Si 0.500 0.500 0.500
Se 0.000 0.000 0.500
Se 0.000 0.500 0.750
Se 0.500 0.000 0.250
Se 0.500 0.500 0.000

4.
First-principles (GGA-PBE) data for In2SiSe after structural relaxation, as listed in Alexandria via LeMat-Bulk.

SG: F-43m, No. 216
Crystal system: cubic
Energy relative to the lowest polymorph listed for this composition, eV/atom: 0.469

abc: 7.174 7.174 7.174
angles: 90.00 90.00 90.00
Atoms (fractional coordinates):
In 0.000 0.000 0.000
In 0.000 0.500 0.500
In 0.250 0.250 0.250
In 0.250 0.750 0.750
In 0.500 0.000 0.500
In 0.500 0.500 0.000
In 0.750 0.250 0.750
In 0.750 0.750 0.250
Si 0.250 0.250 0.750
Si 0.250 0.750 0.250
Si 0.750 0.250 0.250
Si 0.750 0.750 0.750
Se 0.000 0.000 0.500
Se 0.000 0.500 0.000
Se 0.500 0.000 0.000
Se 0.500 0.500 0.500

5.
First-principles (GGA-PBE) data for In2SiSe after structural relaxation, as listed in Alexandria via LeMat-Bulk.

SG: Cmmm, No. 65
Crystal system: orthorhombic
Energy relative to the lowest polymorph listed for this composition, eV/atom: 0.280

abc: 5.801 8.476 3.915
angles: 90.00 90.00 90.00
Atoms (fractional coordinates):
In 0.000 0.242 0.000
In 0.000 0.758 0.000
In 0.500 0.258 0.000
In 0.500 0.742 0.000
Si 0.000 0.000 0.500
Si 0.500 0.500 0.500
Se 0.000 0.500 0.500
Se 0.500 0.000 0.500

6.
First-principles (GGA-PBE) data for In2SiSe after structural relaxation, as listed in Alexandria via LeMat-Bulk.

SG: Cmmm, No. 65
Crystal system: orthorhombic
Energy relative to the lowest polymorph listed for this composition, eV/atom: 0.345

abc: 4.307 5.761 7.566
angles: 90.00 90.00 90.00
Atoms (fractional coordinates):
In 0.000 0.000 0.246
In 0.000 0.000 0.754
In 0.500 0.500 0.246
In 0.500 0.500 0.754
Si 0.000 0.500 0.000
Si 0.500 0.000 0.000
Se 0.000 0.500 0.500
Se 0.500 0.000 0.500

7.
First-principles (GGA-PBE) data for InSiSe after structural relaxation, as listed in Alexandria via LeMat-Bulk.

SG: F-43m, No. 216
Crystal system: cubic
Uncorrected energy, eV per cell: -40.0

abc: 6.848 6.848 6.848
angles: 90.00 90.00 90.00
Atoms (fractional coordinates):
In 0.000 0.000 0.000
In 0.000 0.500 0.500
In 0.500 0.000 0.500
In 0.500 0.500 0.000
Si 0.000 0.000 0.500
Si 0.000 0.500 0.000
Si 0.500 0.000 0.000
Si 0.500 0.500 0.500
Se 0.250 0.250 0.250
Se 0.250 0.750 0.750
Se 0.750 0.250 0.750
Se 0.750 0.750 0.250

8.
First-principles (GGA-PBE) data for InSiSe4 after structural relaxation, as listed in Alexandria via LeMat-Bulk.

SG: F-43m, No. 216
Crystal system: cubic
Energy relative to the lowest polymorph listed for this composition, eV/atom: 0.914

abc: 5.785 5.785 5.785
angles: 60.00 60.00 60.00
Atoms (fractional coordinates):
In 0.000 0.000 0.000
Si 0.250 0.250 0.250
Se 0.126 0.625 0.625
Se 0.625 0.126 0.625
Se 0.625 0.625 0.126
Se 0.625 0.625 0.625

9.
First-principles (GGA-PBE) data for In2SiSe after structural relaxation, as listed in Alexandria via LeMat-Bulk.

SG: Fm-3m, No. 225
Crystal system: cubic
Energy relative to the lowest polymorph listed for this composition, eV/atom: 0.430

abc: 7.153 7.153 7.153
angles: 90.00 90.00 90.00
Atoms (fractional coordinates):
In 0.250 0.250 0.250
In 0.250 0.250 0.750
In 0.250 0.750 0.250
In 0.250 0.750 0.750
In 0.750 0.250 0.250
In 0.750 0.250 0.750
In 0.750 0.750 0.250
In 0.750 0.750 0.750
Si 0.000 0.000 0.000
Si 0.000 0.500 0.500
Si 0.500 0.000 0.500
Si 0.500 0.500 0.000
Se 0.000 0.000 0.500
Se 0.000 0.500 0.000
Se 0.500 0.000 0.000
Se 0.500 0.500 0.500

10.
First-principles (GGA-PBE) data for In2SiSe after structural relaxation, as listed in Alexandria via LeMat-Bulk.

SG: R-3m, No. 166
Crystal system: trigonal
Energy relative to the lowest polymorph listed for this composition, eV/atom: 0.130

abc: 3.973 3.973 20.795
angles: 90.00 90.00 120.00
Atoms (fractional coordinates):
In 0.000 0.000 0.245
In 0.000 0.000 0.755
In 0.333 0.667 0.422
In 0.333 0.667 0.911
In 0.667 0.333 0.089
In 0.667 0.333 0.578
Si 0.000 0.000 0.500
Si 0.333 0.667 0.167
Si 0.667 0.333 0.833
Se 0.000 0.000 0.000
Se 0.333 0.667 0.667
Se 0.667 0.333 0.333

11.
First-principles (GGA-PBE) data for In2SiSe after structural relaxation, as listed in Alexandria via LeMat-Bulk.

SG: I4/mmm, No. 139
Crystal system: tetragonal
Energy relative to the lowest polymorph listed for this composition, eV/atom: 0.420

abc: 4.252 4.252 10.524
angles: 90.00 90.00 90.00
Atoms (fractional coordinates):
In 0.000 0.500 0.250
In 0.000 0.500 0.750
In 0.500 0.000 0.250
In 0.500 0.000 0.750
Si 0.000 0.000 0.000
Si 0.500 0.500 0.500
Se 0.000 0.000 0.500
Se 0.500 0.500 0.000

12.
First-principles (GGA-PBE) data for In2SiSe after structural relaxation, as listed in Alexandria via LeMat-Bulk.

SG: C2/m, No. 12
Crystal system: monoclinic
Energy relative to the lowest polymorph listed for this composition, eV/atom: 0.250

abc: 5.737 8.209 4.963
angles: 90.00 124.31 90.00
Atoms (fractional coordinates):
In 0.250 0.250 0.000
In 0.250 0.750 0.000
In 0.750 0.250 0.000
In 0.750 0.750 0.000
Si 0.000 0.000 0.500
Si 0.500 0.500 0.500
Se 0.000 0.500 0.500
Se 0.500 0.000 0.500

13.
First-principles (GGA-PBE) data for In2SiSe after structural relaxation, as listed in Alexandria via LeMat-Bulk.

SG: Cm, No. 8
Crystal system: monoclinic
Energy relative to the lowest polymorph listed for this composition, eV/atom: 0.229

abc: 11.204 3.446 5.641
angles: 90.00 116.40 90.00
Atoms (fractional coordinates):
In 0.000 0.000 0.000
In 0.215 0.000 0.758
In 0.500 0.500 0.000
In 0.715 0.500 0.758
Si 0.242 0.500 0.327
Si 0.742 0.000 0.327
Se 0.411 0.000 0.421
Se 0.911 0.500 0.421

14.
First-principles (GGA-PBE) data for In3SiSe after structural relaxation, as listed in Alexandria via LeMat-Bulk.

SG: Pm-3m, No. 221
Crystal system: cubic
Energy relative to the lowest polymorph listed for this composition, eV/atom: 0.000

abc: 5.244 5.244 5.244
angles: 90.00 90.00 90.00
Atoms (fractional coordinates):
In 0.000 0.000 0.500
In 0.000 0.500 0.000
In 0.500 0.000 0.000
Si 0.000 0.000 0.000
Se 0.500 0.500 0.500

15.
First-principles (GGA-PBE) data for In3SiSe after structural relaxation, as listed in Alexandria via LeMat-Bulk.

SG: Pm-3m, No. 221
Crystal system: cubic
Energy relative to the lowest polymorph listed for this composition, eV/atom: 0.466

abc: 5.433 5.433 5.433
angles: 90.00 90.00 90.00
Atoms (fractional coordinates):
In 0.000 0.000 0.500
In 0.000 0.500 0.000
In 0.500 0.000 0.000
Si 0.500 0.500 0.500
Se 0.000 0.000 0.000

16.
First-principles (GGA-PBE) data for InSiTc2Se after structural relaxation, as listed in Alexandria via LeMat-Bulk.

SG: P4/mmm, No. 123
Crystal system: tetragonal
Uncorrected energy, eV per cell: -27.2

abc: 4.561 4.561 4.841
angles: 90.00 90.00 90.00
Atoms (fractional coordinates):
In 0.000 0.000 0.000
Si 0.000 0.000 0.500
Tc 0.000 0.500 0.500
Tc 0.500 0.000 0.500
Se 0.500 0.500 0.000

17.
First-principles (GGA-PBE) data for InSiTe2Se after structural relaxation, as listed in Alexandria via LeMat-Bulk.

SG: P4/mmm, No. 123
Crystal system: tetragonal
Uncorrected energy, eV per cell: -13.2

abc: 5.670 5.670 5.116
angles: 90.00 90.00 90.00
Atoms (fractional coordinates):
In 0.000 0.000 0.000
Si 0.000 0.000 0.500
Te 0.000 0.500 0.000
Te 0.500 0.000 0.000
Se 0.500 0.500 0.500

18.
First-principles (GGA-PBE) data for Th6InSi2Se3 after structural relaxation, as listed in Alexandria via LeMat-Bulk.

SG: C2/m, No. 12
Crystal system: monoclinic
Uncorrected energy, eV per cell: -80.9

abc: 9.543 9.543 8.570
angles: 101.25 101.25 26.07
Atoms (fractional coordinates):
Th 0.006 0.006 0.264
Th 0.328 0.328 0.899
Th 0.330 0.330 0.423
Th 0.670 0.670 0.577
Th 0.672 0.672 0.101
Th 0.994 0.994 0.736
In 0.500 0.500 0.000
Si 0.168 0.168 0.336
Si 0.832 0.832 0.664
Se 0.163 0.163 0.835
Se 0.500 0.500 0.500
Se 0.837 0.837 0.165

19.
First-principles (GGA-PBE) data for Tl2InSiSe4 after structural relaxation, as listed in Alexandria via LeMat-Bulk.

SG: Fddd, No. 70
Crystal system: orthorhombic
Uncorrected energy, eV per cell: -59.4

abc: 14.289 13.119 7.365
angles: 83.41 65.79 30.80
Atoms (fractional coordinates):
Tl 0.073 0.073 0.677
Tl 0.323 0.323 0.927
Tl 0.677 0.677 0.073
Tl 0.927 0.927 0.323
In 0.125 0.125 0.125
In 0.875 0.875 0.875
Si 0.375 0.375 0.375
Si 0.625 0.625 0.625
Se 0.021 0.627 0.515
Se 0.337 0.515 0.627
Se 0.373 0.979 0.663
Se 0.485 0.663 0.979
Se 0.515 0.337 0.021
Se 0.627 0.021 0.337
Se 0.663 0.485 0.373
Se 0.979 0.373 0.485

20.
First-principles (GGA-PBE) data for Tm6InSi2Se3 after structural relaxation, as listed in Alexandria via LeMat-Bulk.

SG: C2/m, No. 12
Crystal system: monoclinic
Uncorrected energy, eV per cell: -64.6

abc: 9.297 9.297 8.310
angles: 107.20 107.20 25.24
Atoms (fractional coordinates):
Tm 0.001 0.001 0.235
Tm 0.327 0.327 0.935
Tm 0.328 0.328 0.410
Tm 0.672 0.672 0.590
Tm 0.673 0.673 0.065
Tm 0.999 0.999 0.765
In 0.500 0.500 0.500
Si 0.162 0.162 0.821
Si 0.838 0.838 0.179
Se 0.167 0.167 0.325
Se 0.500 0.500 0.000
Se 0.833 0.833 0.675

21.
First-principles (GGA-PBE) data for Zr2InSiSe after structural relaxation, as listed in Alexandria via LeMat-Bulk.

SG: P4/mmm, No. 123
Crystal system: tetragonal
Uncorrected energy, eV per cell: -27.4

abc: 5.097 5.097 4.814
angles: 90.00 90.00 90.00
Atoms (fractional coordinates):
Zr 0.000 0.500 0.000
Zr 0.500 0.000 0.000
In 0.000 0.000 0.500
Si 0.000 0.000 0.000
Se 0.500 0.500 0.500

22.
First-principles (GGA-PBE) data for Sm2InSe4 after structural relaxation, as listed in Alexandria via LeMat-Bulk.

SG: C2/m, No. 12
Crystal system: monoclinic
Energy relative to the lowest polymorph listed for this composition, eV/atom: 0.008

abc: 15.327 4.202 7.428
angles: 90.00 116.88 90.00
Atoms (fractional coordinates):
Sm 0.230 0.000 0.219
Sm 0.270 0.500 0.781
Sm 0.730 0.500 0.219
Sm 0.770 0.000 0.781
In 0.000 0.500 0.500
In 0.500 0.000 0.500
Se 0.124 0.500 0.942
Se 0.140 0.000 0.494
Se 0.360 0.500 0.506
Se 0.376 0.000 0.058
Se 0.624 0.000 0.942
Se 0.640 0.500 0.494
Se 0.860 0.000 0.506
Se 0.876 0.500 0.058

23.
First-principles (GGA-PBE) data for Sm2InSe4 after structural relaxation, as listed in Alexandria via LeMat-Bulk.

SG: Pbam, No. 55
Crystal system: orthorhombic
Energy relative to the lowest polymorph listed for this composition, eV/atom: 0.000

abc: 7.393 12.201 4.209
angles: 90.00 90.00 90.00
Atoms (fractional coordinates):
Sm 0.079 0.176 0.000
Sm 0.421 0.676 0.000
Sm 0.579 0.324 0.000
Sm 0.921 0.824 0.000
In 0.000 0.500 0.500
In 0.500 0.000 0.500
Se 0.141 0.713 0.500
Se 0.245 0.958 0.000
Se 0.255 0.458 0.000
Se 0.359 0.213 0.500
Se 0.641 0.787 0.500
Se 0.745 0.542 0.000
Se 0.755 0.042 0.000
Se 0.859 0.287 0.500

24.
First-principles (GGA-PBE) data for SmInSe3 after structural relaxation, as listed in Alexandria via LeMat-Bulk.

SG: P2_1/m, No. 11
Crystal system: monoclinic
Energy relative to the lowest polymorph listed for this composition, eV/atom: 0.000

abc: 7.382 4.240 10.538
angles: 90.00 99.68 90.00
Atoms (fractional coordinates):
Sm 0.212 0.250 0.430
Sm 0.788 0.750 0.570
In 0.401 0.250 0.859
In 0.599 0.750 0.141
Se 0.044 0.250 0.657
Se 0.271 0.750 0.964
Se 0.467 0.750 0.356
Se 0.533 0.250 0.644
Se 0.729 0.250 0.036
Se 0.956 0.750 0.343

25.
First-principles (GGA-PBE) data for SmInSe3 after structural relaxation, as listed in Alexandria via LeMat-Bulk.

SG: P2_1/c, No. 14
Crystal system: monoclinic
Energy relative to the lowest polymorph listed for this composition, eV/atom: 0.069

abc: 7.301 7.460 11.734
angles: 90.00 117.93 90.00
Atoms (fractional coordinates):
Sm 0.146 0.133 0.213
Sm 0.146 0.367 0.713
Sm 0.854 0.633 0.287
Sm 0.854 0.867 0.787
In 0.264 0.650 0.120
In 0.264 0.850 0.620
In 0.736 0.150 0.380
In 0.736 0.350 0.880
Se 0.089 0.196 0.935
Se 0.089 0.304 0.435
Se 0.237 0.666 0.892
Se 0.237 0.834 0.392
Se 0.461 0.066 0.813
Se 0.461 0.434 0.313
Se 0.539 0.566 0.687
Se 0.539 0.934 0.187
Se 0.763 0.166 0.608
Se 0.763 0.334 0.108
Se 0.911 0.696 0.565
Se 0.911 0.804 0.065

26.
First-principles (GGA-PBE) data for SmIn2Se4 after structural relaxation, as listed in Alexandria via LeMat-Bulk.

SG: I4/m, No. 87
Crystal system: tetragonal
Uncorrected energy, eV per cell: -58.2

abc: 7.826 7.826 7.088
angles: 90.00 90.00 90.00
Atoms (fractional coordinates):
Sm 0.000 0.000 0.000
Sm 0.500 0.500 0.500
In 0.000 0.500 0.250
In 0.000 0.500 0.750
In 0.500 0.000 0.250
In 0.500 0.000 0.750
Se 0.181 0.310 0.500
Se 0.190 0.681 0.000
Se 0.310 0.819 0.500
Se 0.319 0.190 0.000
Se 0.681 0.810 0.000
Se 0.690 0.181 0.500
Se 0.810 0.319 0.000
Se 0.819 0.690 0.500